## KBe (PBE-GGA)

Data for KBe after structural relaxation.

Unit cell a=6.5211 b=6.5211 c=4.1646 alpha=107.77 beta=107.77 gamma=82.88
With the nearest neighbours (Å) after each atom.
Sites, in units of the cell vectors:
K 0.2501 0.2501 0.2479  2 Be 3.20
K 0.7499 0.7499 0.7521  2 Be 3.20
Be 0.7345 0.2655 0.0000  2 Be 2.10
Be 0.7661 0.2339 0.5000  2 Be 2.10

Results
Excess energy over the best structure of this formula in the dataset = 120 meV/atom
DOS at the Fermi energy = 1.95 states/eV/f.u.


## KBe5 (PBE-GGA)

Data for KBe5 after structural relaxation.

Unit cell a=4.1532 b=4.1532 c=8.5254 alpha=105.26 beta=105.26 gamma=34.87
With the nearest neighbours (Å) after each atom.
Sites, in units of the cell vectors:
K 0.0000 0.0000 0.0000  2 K 2.49
Be 0.0000 0.0000 0.5000  8 Be 2.15-2.17
Be 0.3311 0.3311 0.6015  6 Be 2.17-2.23
Be 0.3459 0.3459 0.3071  4 Be 2.15-2.17
Be 0.6541 0.6541 0.6929  4 Be 2.15-2.17
Be 0.6689 0.6689 0.3985  6 Be 2.17-2.23

Results
Excess energy over the best structure of this formula in the dataset = 0 meV/atom
DOS at the Fermi energy = 1.27 states/eV/f.u.


## KBe (PBE-GGA)

Data for KBe after structural relaxation.

Unit cell a=11.6503 b=11.6503 c=4.1242 alpha=90.00 beta=90.00 gamma=90.00
With the nearest neighbours (Å) after each atom.
Sites, in units of the cell vectors:
K 0.0000 0.2477 0.0000  2 Be 3.14
K 0.0000 0.7523 0.0000  2 Be 3.14
K 0.2477 0.0000 0.0000  2 Be 3.14
K 0.3278 0.3278 0.5000  2 Be 3.43
K 0.3278 0.6722 0.5000  2 Be 3.43
K 0.6722 0.3278 0.5000  2 Be 3.43
K 0.6722 0.6722 0.5000  2 Be 3.43
K 0.7523 0.0000 0.0000  2 Be 3.14
Be 0.0890 0.5000 0.5000  3 Be 2.06-2.07
Be 0.0943 0.5000 0.0000  3 Be 2.06-2.20
Be 0.5000 0.0890 0.5000  3 Be 2.06-2.07
Be 0.5000 0.0943 0.0000  3 Be 2.06-2.20
Be 0.5000 0.9057 0.0000  3 Be 2.06-2.20
Be 0.5000 0.9110 0.5000  3 Be 2.06-2.07
Be 0.9057 0.5000 0.0000  3 Be 2.06-2.20
Be 0.9110 0.5000 0.5000  3 Be 2.06-2.07

Results
Excess energy over the best structure of this formula in the dataset = 0 meV/atom
DOS at the Fermi energy = 1.46 states/eV/f.u.


## KBe4 (PBE-GGA)

Data for KBe4 after structural relaxation.

Unit cell a=6.5694 b=6.5694 c=6.5694 alpha=144.42 beta=144.42 gamma=51.20
With the nearest neighbours (Å) after each atom.
Sites, in units of the cell vectors:
K 0.0000 0.0000 0.0000  2 Be 3.17
Be 0.2500 0.7500 0.5000  4 Be 2.02
Be 0.2675 0.2675 0.0000  4 Be 2.02
Be 0.7325 0.7325 0.0000  4 Be 2.02
Be 0.7500 0.2500 0.5000  4 Be 2.02

Results
Excess energy over the best structure of this formula in the dataset = 0 meV/atom
DOS at the Fermi energy = 1.23 states/eV/f.u.